1.
! AlCd2Ir meta-GGA SCAN PBEsol geometry; values from VASP
&SYSTEM
  ibrav = 0, nat = 4, ntyp = 3
/
ATOMIC_SPECIES
Cd 112.41 Cd.upf
Ir 192.22 Ir.upf
Al 26.98 Al.upf
CELL_PARAMETERS angstrom
-0.2348 2.5843 1.4144
-3.0907 1.4700 -3.1582
-1.9910 -3.8514 3.5984
ATOMIC_POSITIONS crystal
Cd 0.0000 0.5000 0.5000
Cd 0.5000 0.0000 0.5000
Ir 0.0000 0.5000 0.0000
Al 0.5000 0.0000 0.0000
! **Crystal system**: monoclinic
! **E_form**: -20 meV/atom

2.
! KAlCd2 meta-GGA SCAN PBEsol geometry; values from VASP
&SYSTEM
  ibrav = 0, nat = 4, ntyp = 3
/
ATOMIC_SPECIES
Al 26.98 Al.upf
Cd 112.41 Cd.upf
K 39.10 K.upf
CELL_PARAMETERS angstrom
3.0198 0.0000 0.0000
0.0000 4.3100 0.0000
0.0000 0.0000 7.8913
ATOMIC_POSITIONS crystal
Al 0.5000 0.5000 0.8204
Cd 0.5000 0.5000 0.1923
Cd 0.0000 0.0000 0.9801
K 0.0000 0.0000 0.5072
! **Crystal system**: orthorhombic
! **E_form**: 78 meV/atom

3.
! KAlCd2 meta-GGA SCAN PBEsol geometry; values from VASP
&SYSTEM
  ibrav = 0, nat = 4, ntyp = 3
/
ATOMIC_SPECIES
Cd 112.41 Cd.upf
K 39.10 K.upf
Al 26.98 Al.upf
CELL_PARAMETERS angstrom
-1.7795 0.0005 -2.3981
-2.4891 -2.0344 3.7058
-2.1479 7.0530 1.5954
ATOMIC_POSITIONS crystal
Cd 0.0017 0.0035 0.0226
Cd 0.2591 0.5182 0.8151
K 0.4974 0.9949 0.4926
Al 0.7418 0.4835 0.1697
! **Crystal system**: monoclinic
! **E_form**: 98 meV/atom

4.
! KAlCd meta-GGA SCAN PBEsol geometry; values from VASP
&SYSTEM
  ibrav = 0, nat = 3, ntyp = 3
/
ATOMIC_SPECIES
Cd 112.41 Cd.upf
K 39.10 K.upf
Al 26.98 Al.upf
CELL_PARAMETERS angstrom
-0.4207 2.6113 1.5690
-3.9298 0.5330 -1.9408
-0.4815 -4.7140 4.7025
ATOMIC_POSITIONS crystal
Cd 0.3795 0.3795 0.7590
K 0.6653 0.6653 0.3305
Al 0.9552 0.9552 0.9104
! **Crystal system**: orthorhombic
! **E_form**: 101 meV/atom

5.
! KAl2Cd meta-GGA SCAN PBEsol geometry; values from VASP
&SYSTEM
  ibrav = 0, nat = 4, ntyp = 3
/
ATOMIC_SPECIES
Al 26.98 Al.upf
K 39.10 K.upf
Cd 112.41 Cd.upf
CELL_PARAMETERS angstrom
-1.0222 -0.3663 -2.7017
-2.6795 -2.7942 1.3926
-5.4050 5.8059 1.2496
ATOMIC_POSITIONS crystal
Al 0.0002 0.0000 0.0732
Al 0.5004 0.5000 0.2303
K 0.4985 0.5000 0.7573
Cd 0.0009 0.0000 0.4391
! **Crystal system**: monoclinic
! **E_form**: 111 meV/atom

6.
! KAlCd2 meta-GGA SCAN PBEsol geometry; values from VASP
&SYSTEM
  ibrav = 0, nat = 4, ntyp = 3
/
ATOMIC_SPECIES
Cd 112.41 Cd.upf
Al 26.98 Al.upf
K 39.10 K.upf
CELL_PARAMETERS angstrom
-1.9814 -0.2129 2.2183
-0.4955 -3.8649 -2.8177
5.3364 -3.1635 4.4627
ATOMIC_POSITIONS crystal
Cd 0.2403 0.4807 0.1835
Cd 0.7597 0.5193 0.8165
Al 0.5000 0.0000 0.0000
K 0.0000 0.0000 0.5000
! **Crystal system**: monoclinic
! **E_form**: 80 meV/atom

no.,total magnetization (μB per formula unit),N(E_F) (states/eV per cell)
1,0.00,1.28
2,0.00,1.40
3,0.00,1.42
4,0.00,1.40
5,0.00,1.70
6,0.00,1.94